! Nb3ZnPd | Alexandria via LeMat-Bulk | PBE | optimized geometry; values from VASP
&SYSTEM
  ibrav = 0, nat = 5, ntyp = 3
/
ATOMIC_SPECIES
Nb 92.91 Nb.upf
Zn 65.41 Zn.upf
Pd 106.42 Pd.upf
CELL_PARAMETERS angstrom
4.678 0.000 0.000
0.000 4.678 0.000
0.000 0.000 4.678
ATOMIC_POSITIONS crystal
Nb 0.000 0.000 0.500
Nb 0.000 0.500 0.000
Nb 0.500 0.000 0.000
Zn 0.000 0.000 0.000
Pd 0.500 0.500 0.500
! Distance to the lowest polymorph of the same formula in eV per atom: 0.0000
! Density of states at the Fermi level in states/eV/f.u.: 9.51
! ΔE_f in eV per atom: 1.21
! Space-group type: Pm-3m, No. 221
! Spin magnetization in μB per formula unit: 0.00
! E in eV per atom: -6.1212